# Sm2Co2Ru (PBE, optimized geometry)
data_Sm2Co2Ru
_cell_length_a 9.024
_cell_length_b 5.490
_cell_length_c 7.905
_cell_angle_alpha 90.00
_cell_angle_beta 102.63
_cell_angle_gamma 90.00
_symmetry_space_group_name_H-M 'C 1 2/c 1'
_symmetry_Int_Tables_number 15
loop_
_symmetry_equiv_pos_as_xyz
'x,y,z'
'-x,-y,-z'
'-x,y,-z+1/2'
'x,-y,z+1/2'
'x+1/2,y+1/2,z'
'-x+1/2,-y+1/2,-z'
'-x+1/2,y+1/2,-z+1/2'
'x+1/2,-y+1/2,z+1/2'
loop_
_atom_site_label
_atom_site_type_symbol
_atom_site_fract_x
_atom_site_fract_y
_atom_site_fract_z
Sm1 Sm 0.153 0.114 0.154
Co1 Co 0.116 0.384 0.501
Ru1 Ru 0.000 0.378 0.750
# E above lowest polymorph: 0.000 eV/f.u.
# formation energy: -0.64 eV per formula unit
# density of states at the Fermi level: 1.4070 states/eV per atom
# magnetic moment: 0.00 μB per formula unit

---

# Re4PbCl (PBE, optimized geometry)
data_Re4PbCl
_cell_length_a 7.605
_cell_length_b 7.605
_cell_length_c 7.605
_cell_angle_alpha 90.00
_cell_angle_beta 90.00
_cell_angle_gamma 90.00
_symmetry_space_group_name_H-M 'F -4 3 m'
_symmetry_Int_Tables_number 216
_symmetry_space_group_name_Hall 'F -4 2 3'
loop_
_atom_site_label
_atom_site_type_symbol
_atom_site_fract_x
_atom_site_fract_y
_atom_site_fract_z
Re1 Re 0.124 0.124 0.124
Pb1 Pb 0.000 0.000 0.500
Cl1 Cl 0.250 0.250 0.750
# E_form (uncorrected): 7.46 eV/f.u.
# density of states at the Fermi level: 1.2294 states/eV per atom
# magnetic moment: 0.00 μB per formula unit

---

# HoThRh (PBE, optimized geometry)
data_HoThRh
_cell_length_a 6.062
_cell_length_b 7.390
_cell_length_c 7.158
_cell_angle_alpha 90.00
_cell_angle_beta 90.23
_cell_angle_gamma 90.00
_symmetry_space_group_name_H-M 'P 1 21/c 1'
_symmetry_Int_Tables_number 14
loop_
_symmetry_equiv_pos_as_xyz
'x,y,z'
'-x,-y,-z'
'-x,y+1/2,-z+1/2'
'x,-y+1/2,z+1/2'
loop_
_atom_site_label
_atom_site_type_symbol
_atom_site_fract_x
_atom_site_fract_y
_atom_site_fract_z
Ho1 Ho 0.111 0.107 0.252
Th1 Th 0.403 0.750 0.000
Rh1 Rh 0.322 0.049 0.748
# E above lowest polymorph: 0.000 eV/f.u.
# formation energy: -1.79 eV per formula unit
# density of states at the Fermi level: 0.9649 states/eV per atom
# magnetic moment: 0.00 μB per formula unit

---

# Cs4PtO2 (PBE, optimized geometry)
data_Cs4PtO2
_cell_length_a 5.6047
_cell_length_b 5.6047
_cell_length_c 23.3390
_cell_angle_alpha 90.00
_cell_angle_beta 90.00
_cell_angle_gamma 120.00
_symmetry_space_group_name_H-M 'R -3 m'
_symmetry_Int_Tables_number 166
_symmetry_space_group_name_Hall '-R 3 2"'
loop_
_atom_site_label
_atom_site_type_symbol
_atom_site_fract_x
_atom_site_fract_y
_atom_site_fract_z
Cs1 Cs 0.0000 0.0000 0.1154
Cs2 Cs 0.0000 0.0000 0.2918
Pt1 Pt 0.0000 0.0000 0.5000
O1 O 0.0000 0.0000 0.4107
# E_form (uncorrected): -5.28 eV/f.u.
# magnetic moment: 0.00 μB per formula unit

---

# Y7ErTm3 (PBE, optimized geometry)
data_Y7ErTm3
_cell_length_a 6.922
_cell_length_b 5.512
_cell_length_c 9.935
_cell_angle_alpha 90.00
_cell_angle_beta 110.27
_cell_angle_gamma 90.00
_symmetry_space_group_name_H-M 'P 1 2/m 1'
_symmetry_Int_Tables_number 10
loop_
_symmetry_equiv_pos_as_xyz
'x,y,z'
'-x,-y,-z'
'-x,y,-z'
'x,-y,z'
loop_
_atom_site_label
_atom_site_type_symbol
_atom_site_fract_x
_atom_site_fract_y
_atom_site_fract_z
Y1 Y 0.000 0.000 0.000
Y2 Y 0.145 0.500 0.290
Y3 Y 0.320 0.500 0.639
Y4 Y 0.416 0.000 0.831
Er1 Er 0.000 0.000 0.500
Tm1 Tm 0.279 0.500 0.000
Tm2 Tm 0.500 0.000 0.500
# E above lowest polymorph: 0.000 eV/f.u.
# formation energy: 1.63 eV per formula unit
# density of states at the Fermi level: 1.8023 states/eV per atom
# magnetic moment: 0.00 μB per formula unit

---

# Dy2ErTmSc4 (PBE, optimized geometry)
data_Dy2ErTmSc4
_cell_length_a 4.854
_cell_length_b 4.854
_cell_length_c 9.350
_cell_angle_alpha 90.00
_cell_angle_beta 90.00
_cell_angle_gamma 90.00
_symmetry_space_group_name_H-M 'P 4/m m m'
_symmetry_Int_Tables_number 123
_symmetry_space_group_name_Hall '-P 4 2'
loop_
_atom_site_label
_atom_site_type_symbol
_atom_site_fract_x
_atom_site_fract_y
_atom_site_fract_z
Dy1 Dy 0.000 0.000 0.000
Dy2 Dy 0.500 0.500 0.500
Er1 Er 0.000 0.000 0.500
Tm1 Tm 0.500 0.500 0.000
Sc1 Sc 0.000 0.500 0.250
# formation energy: 0.42 eV per formula unit
# density of states at the Fermi level: 1.7709 states/eV per atom
# magnetic moment: 0.01 μB per formula unit

---

# MnCr2Ir (PBE, optimized geometry)
data_MnCr2Ir
_cell_length_a 2.912
_cell_length_b 4.265
_cell_length_c 8.090
_cell_angle_alpha 90.00
_cell_angle_beta 90.00
_cell_angle_gamma 90.00
_symmetry_space_group_name_H-M 'C m m m'
_symmetry_Int_Tables_number 65
_symmetry_space_group_name_Hall '-C 2 2'
loop_
_atom_site_label
_atom_site_type_symbol
_atom_site_fract_x
_atom_site_fract_y
_atom_site_fract_z
Mn1 Mn 0.000 0.000 0.000
Cr1 Cr 0.000 0.500 0.234
Ir1 Ir 0.000 0.000 0.500
# formation energy: 0.73 eV per formula unit
# density of states at the Fermi level: 1.5378 states/eV per atom
# magnetic moment: 0.43 μB per formula unit

---

# Ca2PtRh2 (PBE, optimized geometry)
data_Ca2PtRh2
_cell_length_a 6.792
_cell_length_b 6.792
_cell_length_c 4.387
_cell_angle_alpha 90.00
_cell_angle_beta 90.00
_cell_angle_gamma 90.00
_symmetry_space_group_name_H-M 'P 4/m b m'
_symmetry_Int_Tables_number 127
_symmetry_space_group_name_Hall '-P 4 2ab'
loop_
_atom_site_label
_atom_site_type_symbol
_atom_site_fract_x
_atom_site_fract_y
_atom_site_fract_z
Ca1 Ca 0.180 0.320 0.000
Pt1 Pt 0.000 0.000 0.500
Rh1 Rh 0.129 0.629 0.500
# formation energy: -2.36 eV per formula unit
# density of states at the Fermi level: 0.1417 states/eV per atom
# magnetic moment: 0.00 μB per formula unit

---

Q: magnetic moment of number 5 (Y7ErTm3)?
A: 0.00 μB per formula unit